Entry 1:
A relaxed structure of TePd2Br. Source: Alexandria, functional PBE-GGA.

Calculated values
The energy above the most stable polymorph in this dataset comes out at 59 meV per atom. The space-group type is R-3m (166). The uncorrected formation energy comes out at -0.1728 eV/atom.

Geometry as POSCAR:
```
TePd2Br
1.0
4.460 0.000 0.000
-2.230 3.862 0.000
0.000 0.000 19.494
Te Pd Br
3 6 3
direct
0.000 0.000 0.000 Te
0.333 0.667 0.667 Te
0.667 0.333 0.333 Te
0.000 0.000 0.369 Pd
0.000 0.000 0.631 Pd
0.333 0.667 0.036 Pd
0.333 0.667 0.298 Pd
0.667 0.333 0.702 Pd
0.667 0.333 0.964 Pd
0.000 0.000 0.500 Br
0.333 0.667 0.167 Br
0.667 0.333 0.833 Br
```

Entry 2:
A relaxed structure of Te2PdBr. Source: Alexandria, functional PBE-GGA.

Calculated values
The space-group type is C2/c (15). The uncorrected formation energy comes out at -0.1293 eV/atom.

Geometry as POSCAR:
```
Te2PdBr
1.0
7.839 0.000 0.000
0.000 9.609 0.000
-2.222 0.000 6.049
Te Pd Br
8 4 4
direct
0.249 0.102 0.451 Te
0.249 0.898 0.951 Te
0.251 0.398 0.549 Te
0.251 0.602 0.049 Te
0.749 0.398 0.951 Te
0.749 0.602 0.451 Te
0.751 0.102 0.049 Te
0.751 0.898 0.549 Te
0.000 0.443 0.750 Pd
0.000 0.557 0.250 Pd
0.500 0.057 0.250 Pd
0.500 0.943 0.750 Pd
0.000 0.176 0.750 Br
0.000 0.824 0.250 Br
0.500 0.324 0.250 Br
0.500 0.676 0.750 Br
```

Entry 3:
A relaxed structure of TePdBr2. Source: Alexandria, functional PBE-GGA.

Calculated values
The space-group type is Fm-3m (225). The uncorrected formation energy comes out at 0.4690 eV/atom.

Geometry as POSCAR:
```
TePdBr2
1.0
7.243 0.000 0.000
0.000 7.243 0.000
0.000 0.000 7.243
Te Pd Br
4 4 8
direct
0.000 0.000 0.000 Te
0.000 0.500 0.500 Te
0.500 0.000 0.500 Te
0.500 0.500 0.000 Te
0.000 0.000 0.500 Pd
0.000 0.500 0.000 Pd
0.500 0.000 0.000 Pd
0.500 0.500 0.500 Pd
0.250 0.250 0.250 Br
0.250 0.250 0.750 Br
0.250 0.750 0.250 Br
0.250 0.750 0.750 Br
0.750 0.250 0.250 Br
0.750 0.250 0.750 Br
0.750 0.750 0.250 Br
0.750 0.750 0.750 Br
```

Entry 4:
A relaxed structure of Te4PdBr. Source: Alexandria, functional PBE-GGA.

Calculated values
The energy above the most stable polymorph in this dataset comes out at 0 meV per atom. The space-group type is P-1 (2). The uncorrected formation energy comes out at -0.1018 eV/atom.

Geometry as POSCAR:
```
Te4PdBr
1.0
7.855 0.000 0.000
2.812 7.347 0.000
3.816 2.613 6.778
Te Pd Br
8 2 2
direct
0.116 0.363 0.119 Te
0.185 0.788 0.498 Te
0.213 0.815 0.001 Te
0.363 0.116 0.620 Te
0.637 0.884 0.380 Te
0.787 0.185 0.999 Te
0.815 0.212 0.502 Te
0.884 0.637 0.881 Te
0.012 0.987 0.751 Pd
0.988 0.013 0.249 Pd
0.493 0.505 0.251 Br
0.507 0.495 0.749 Br
```

Entry 5:
A relaxed structure of TePd3Br. Source: Alexandria, functional PBE-GGA.

Calculated values
The energy above the most stable polymorph in this dataset comes out at 0 meV per atom. The space-group type is P-1 (2). The uncorrected formation energy comes out at -0.1481 eV/atom.

Geometry as POSCAR:
```
TePd3Br
1.0
4.409 0.000 0.000
-1.002 6.906 0.000
-0.838 -0.430 6.998
Te Pd Br
2 6 2
direct
0.207 0.240 0.091 Te
0.793 0.760 0.909 Te
0.254 0.116 0.437 Pd
0.296 0.627 0.069 Pd
0.314 0.986 0.822 Pd
0.686 0.014 0.178 Pd
0.704 0.373 0.931 Pd
0.746 0.884 0.563 Pd
0.201 0.700 0.432 Br
0.799 0.300 0.568 Br
```

Entry 6:
A relaxed structure of Te2PdBr. Source: Alexandria, functional PBE-GGA.

Calculated values
The space-group type is Pna2_1 (33). The uncorrected formation energy comes out at -0.0978 eV/atom.

Geometry as POSCAR:
```
Te2PdBr
1.0
7.745 0.000 0.000
0.000 8.861 0.000
0.000 0.000 7.539
Te Pd Br
8 4 4
direct
0.062 0.166 0.000 Te
0.079 0.557 0.640 Te
0.421 0.057 0.140 Te
0.438 0.666 0.500 Te
0.562 0.334 0.000 Te
0.579 0.943 0.640 Te
0.921 0.443 0.140 Te
0.938 0.834 0.500 Te
0.141 0.638 0.308 Pd
0.359 0.138 0.808 Pd
0.641 0.862 0.308 Pd
0.859 0.362 0.808 Pd
0.207 0.775 0.027 Br
0.293 0.275 0.527 Br
0.707 0.725 0.027 Br
0.793 0.225 0.527 Br
```

Entry 7:
A relaxed structure of TePd2Br. Source: Alexandria, functional PBE-GGA.

Calculated values
The energy above the most stable polymorph in this dataset comes out at 0 meV per atom. The space-group type is P1 (1). The uncorrected formation energy comes out at -0.2317 eV/atom.

Geometry as POSCAR:
```
TePd2Br
1.0
3.777 0.000 0.000
0.000 7.028 0.000
1.874 2.491 6.949
Te Pd Br
2 4 2
direct
0.000 0.000 0.000 Te
0.423 0.372 0.158 Te
0.050 0.433 0.901 Pd
0.363 0.952 0.277 Pd
0.545 0.762 0.909 Pd
0.881 0.618 0.242 Pd
0.235 0.519 0.539 Br
0.732 0.981 0.539 Br
```

Entry 8:
A relaxed structure of TePdBr3. Source: Alexandria, functional PBE-GGA.

Calculated values
The energy above the most stable polymorph in this dataset comes out at 0 meV per atom. The space-group type is P-1 (2). The uncorrected formation energy comes out at -0.1940 eV/atom.

Geometry as POSCAR:
```
TePdBr3
1.0
3.715 0.000 0.000
-1.852 6.686 0.000
-0.649 -2.207 13.113
Te Pd Br
2 2 6
direct
0.129 0.205 0.036 Te
0.871 0.795 0.964 Te
0.282 0.471 0.662 Pd
0.718 0.529 0.338 Pd
0.085 0.279 0.285 Br
0.235 0.302 0.855 Br
0.348 0.765 0.407 Br
0.652 0.235 0.593 Br
0.765 0.698 0.145 Br
0.915 0.721 0.715 Br
```

Entry 9:
A relaxed structure of Te2Pd3Br2. Source: Alexandria, functional PBE-GGA.

Calculated values
The space-group type is C2/m (12). The uncorrected formation energy comes out at -0.2051 eV/atom.

Geometry as POSCAR:
```
Te2Pd3Br2
1.0
13.298 0.000 0.000
0.000 3.671 0.000
-1.668 0.000 7.161
Te Pd Br
4 6 4
direct
0.137 0.000 0.333 Te
0.363 0.500 0.667 Te
0.637 0.500 0.333 Te
0.863 0.000 0.667 Te
0.000 0.000 0.000 Pd
0.232 0.000 0.712 Pd
0.268 0.500 0.288 Pd
0.500 0.500 0.000 Pd
0.732 0.500 0.712 Pd
0.768 0.000 0.288 Pd
0.112 0.500 0.829 Br
0.388 0.000 0.171 Br
0.612 0.000 0.829 Br
0.888 0.500 0.171 Br
```

Entry 10:
A relaxed structure of Te4PdBr. Source: Alexandria, functional PBE-GGA.

Calculated values
The energy above the most stable polymorph in this dataset comes out at 50 meV per atom. The space-group type is C2/m (12). The uncorrected formation energy comes out at -0.0515 eV/atom.

Geometry as POSCAR:
```
Te4PdBr
1.0
8.367 -3.870 0.000
8.367 3.870 0.000
-0.560 0.000 5.889
Te Pd Br
8 2 2
direct
0.133 0.640 0.571 Te
0.219 0.781 0.000 Te
0.226 0.226 0.673 Te
0.360 0.867 0.429 Te
0.640 0.133 0.571 Te
0.774 0.774 0.327 Te
0.781 0.219 0.000 Te
0.867 0.360 0.429 Te
0.059 0.059 0.704 Pd
0.941 0.941 0.296 Pd
0.316 0.316 0.097 Br
0.684 0.684 0.903 Br
```

Entry 11:
A relaxed structure of TePd2Br8. Source: Alexandria, functional PBE-GGA.

Calculated values
The energy above the most stable polymorph in this dataset comes out at 0 meV per atom. The space-group type is C2/m (12). The uncorrected formation energy comes out at -0.1399 eV/atom.

Geometry as POSCAR:
```
TePd2Br8
1.0
5.439 -4.890 0.000
5.439 4.890 0.000
-1.877 0.000 8.565
Te Pd Br
1 2 8
direct
0.000 0.000 0.000 Te
0.136 0.136 0.400 Pd
0.864 0.864 0.600 Pd
0.041 0.664 0.819 Br
0.103 0.103 0.675 Br
0.336 0.959 0.181 Br
0.361 0.361 0.507 Br
0.639 0.639 0.493 Br
0.664 0.041 0.819 Br
0.897 0.897 0.325 Br
0.959 0.336 0.181 Br
```

Entry 12:
A relaxed structure of Te2PdBr. Source: Alexandria, functional PBE-GGA.

Calculated values
The space-group type is Fm-3m (225). The uncorrected formation energy comes out at 0.2839 eV/atom.

Geometry as POSCAR:
```
Te2PdBr
1.0
7.183 0.000 0.000
0.000 7.183 0.000
0.000 0.000 7.183
Te Pd Br
8 4 4
direct
0.250 0.250 0.250 Te
0.250 0.250 0.750 Te
0.250 0.750 0.250 Te
0.250 0.750 0.750 Te
0.750 0.250 0.250 Te
0.750 0.250 0.750 Te
0.750 0.750 0.250 Te
0.750 0.750 0.750 Te
0.000 0.000 0.000 Pd
0.000 0.500 0.500 Pd
0.500 0.000 0.500 Pd
0.500 0.500 0.000 Pd
0.000 0.000 0.500 Br
0.000 0.500 0.000 Br
0.500 0.000 0.000 Br
0.500 0.500 0.500 Br
```

Entry 13:
A relaxed structure of Te2PdBr. Source: Alexandria, functional PBE-GGA.

Calculated values
The space-group type is Pnma (62). The uncorrected formation energy comes out at -0.2495 eV/atom.

Geometry as POSCAR:
```
Te2PdBr
1.0
9.030 0.000 0.000
0.000 4.079 0.000
0.000 0.000 13.201
Te Pd Br
8 4 4
direct
0.150 0.250 0.219 Te
0.151 0.750 0.933 Te
0.349 0.250 0.433 Te
0.350 0.750 0.719 Te
0.650 0.250 0.281 Te
0.651 0.750 0.567 Te
0.849 0.250 0.067 Te
0.850 0.750 0.781 Te
0.019 0.750 0.125 Pd
0.481 0.250 0.625 Pd
0.519 0.750 0.375 Pd
0.981 0.250 0.875 Pd
0.088 0.750 0.618 Br
0.412 0.250 0.118 Br
0.588 0.750 0.882 Br
0.912 0.250 0.382 Br
```

Entry 14:
A relaxed structure of TePdBr2. Source: Alexandria, functional PBE-GGA.

Calculated values
The space-group type is R-3m (166). The uncorrected formation energy comes out at 0.2708 eV/atom.

Geometry as POSCAR:
```
TePdBr2
1.0
3.538 0.000 0.000
-1.769 3.064 0.000
0.000 0.000 28.992
Te Pd Br
3 3 6
direct
0.000 0.000 0.000 Te
0.333 0.667 0.667 Te
0.667 0.333 0.333 Te
0.000 0.000 0.500 Pd
0.333 0.667 0.167 Pd
0.667 0.333 0.833 Pd
0.000 0.000 0.417 Br
0.000 0.000 0.583 Br
0.333 0.667 0.083 Br
0.333 0.667 0.250 Br
0.667 0.333 0.750 Br
0.667 0.333 0.917 Br
```

Entry 15:
A relaxed structure of Te2PdBr. Source: Alexandria, functional PBE-GGA.

Calculated values
The space-group type is R-3m (166). The uncorrected formation energy comes out at -0.3227 eV/atom.

Geometry as POSCAR:
```
Te2PdBr
1.0
4.133 0.000 0.000
-2.067 3.580 0.000
0.000 0.000 21.868
Te Pd Br
6 3 3
direct
0.000 0.000 0.225 Te
0.000 0.000 0.775 Te
0.333 0.667 0.441 Te
0.333 0.667 0.892 Te
0.667 0.333 0.108 Te
0.667 0.333 0.559 Te
0.000 0.000 0.500 Pd
0.333 0.667 0.167 Pd
0.667 0.333 0.833 Pd
0.000 0.000 0.000 Br
0.333 0.667 0.667 Br
0.667 0.333 0.333 Br
```

Entry 16:
A relaxed structure of TePdBr2. Source: Alexandria, functional PBE-GGA.

Calculated values
The space-group type is I4_1/amd (141). The uncorrected formation energy comes out at 0.0190 eV/atom.

Geometry as POSCAR:
```
TePdBr2
1.0
10.329 0.000 0.000
0.000 10.329 0.000
0.000 0.000 5.231
Te Pd Br
4 4 8
direct
0.000 0.250 0.375 Te
0.000 0.750 0.625 Te
0.500 0.250 0.125 Te
0.500 0.750 0.875 Te
0.000 0.250 0.875 Pd
0.000 0.750 0.125 Pd
0.500 0.250 0.625 Pd
0.500 0.750 0.375 Pd
0.000 0.000 0.000 Br
0.000 0.500 0.000 Br
0.250 0.250 0.750 Br
0.250 0.750 0.250 Br
0.500 0.000 0.500 Br
0.500 0.500 0.500 Br
0.750 0.250 0.750 Br
0.750 0.750 0.250 Br
```

Entry 17:
A relaxed structure of Te2PdBr. Source: Alexandria, functional PBE-GGA.

Calculated values
The space-group type is I4/mcm (140). The uncorrected formation energy comes out at 0.1445 eV/atom.

Geometry as POSCAR:
```
Te2PdBr
1.0
8.171 0.000 0.000
0.000 8.171 0.000
0.000 0.000 6.567
Te Pd Br
8 4 4
direct
0.176 0.324 0.000 Te
0.176 0.676 0.500 Te
0.324 0.176 0.500 Te
0.324 0.824 0.000 Te
0.676 0.176 0.000 Te
0.676 0.824 0.500 Te
0.824 0.324 0.500 Te
0.824 0.676 0.000 Te
0.000 0.500 0.250 Pd
0.000 0.500 0.750 Pd
0.500 0.000 0.250 Pd
0.500 0.000 0.750 Pd
0.000 0.000 0.250 Br
0.000 0.000 0.750 Br
0.500 0.500 0.250 Br
0.500 0.500 0.750 Br
```

Entry 18:
A relaxed structure of TePd2Br. Source: Alexandria, functional PBE-GGA.

Calculated values
The energy above the most stable polymorph in this dataset comes out at 359 meV per atom. The space-group type is Fm-3m (225). The uncorrected formation energy comes out at 0.1270 eV/atom.

Geometry as POSCAR:
```
TePd2Br
1.0
6.831 0.000 0.000
0.000 6.831 0.000
0.000 0.000 6.831
Te Pd Br
4 8 4
direct
0.000 0.000 0.000 Te
0.000 0.500 0.500 Te
0.500 0.000 0.500 Te
0.500 0.500 0.000 Te
0.250 0.250 0.250 Pd
0.250 0.250 0.750 Pd
0.250 0.750 0.250 Pd
0.250 0.750 0.750 Pd
0.750 0.250 0.250 Pd
0.750 0.250 0.750 Pd
0.750 0.750 0.250 Pd
0.750 0.750 0.750 Pd
0.000 0.000 0.500 Br
0.000 0.500 0.000 Br
0.500 0.000 0.000 Br
0.500 0.500 0.500 Br
```

Entry 19:
A relaxed structure of Te2PdBr. Source: Alexandria, functional PBE-GGA.

Calculated values
The space-group type is P4/mmm (123). The uncorrected formation energy comes out at 0.2817 eV/atom.

Geometry as POSCAR:
```
Te2PdBr
1.0
5.403 0.000 0.000
0.000 5.403 0.000
0.000 0.000 3.213
Te Pd Br
2 1 1
direct
0.000 0.500 0.000 Te
0.500 0.000 0.000 Te
0.000 0.000 0.500 Pd
0.500 0.500 0.500 Br
```

Entry 20:
A relaxed structure of Te2PdBr. Source: Alexandria, functional PBE-GGA.

Calculated values
The space-group type is P2_1/c (14). The uncorrected formation energy comes out at -0.2923 eV/atom.

Geometry as POSCAR:
```
Te2PdBr
1.0
7.391 0.000 0.000
0.000 5.013 0.000
-6.999 0.000 13.905
Te Pd Br
8 4 4
direct
0.182 0.116 0.070 Te
0.182 0.384 0.570 Te
0.244 0.013 0.436 Te
0.244 0.487 0.936 Te
0.756 0.513 0.064 Te
0.756 0.987 0.564 Te
0.818 0.616 0.430 Te
0.818 0.884 0.930 Te
0.471 0.684 0.567 Pd
0.471 0.816 0.067 Pd
0.529 0.184 0.933 Pd
0.529 0.316 0.433 Pd
0.282 0.605 0.294 Br
0.282 0.895 0.794 Br
0.718 0.105 0.206 Br
0.718 0.395 0.706 Br
```